Here is a relaxed Tl2VBr2Cl4 crystal from Alexandria. Energies are from PBE.

The value obtained for the calculated total energy is -3.740 eV per atom. The value obtained for the magnetization is 1.0 μB per formula unit. Its formation energy from raw total energies is -1.008 eV per atom. The calculation puts the theoretical density at 4.831 g/cm³.

The space group is C2/m (No. 12) and the conventional cell measures 12.617, 7.027 and 7.107 Å, with angles of 90.00, 123.83 and 90.00 degrees. The inequivalent atoms are Tl at (0.250, 0.000, 0.228), V at (0.000, 0.500, 0.000), Br at (0.238, 0.500, 0.283) and Cl at (0.022, 0.268, 0.793).